Entry 1:
Compound: ScTlCuW
Source: OQMD
Functional: GGA-PBE
Structure: optimized geometry

Output
size of the total moment	1.336	μB/cell
ΔE to the lowest computed polymorph	0.000	eV per formula unit

Cell: 4.7154 4.7154 4.7154 Å, 60.00 60.00 60.00°
Positions (direct):
1 Sc 0.5000 0.5000 0.5000
2 Cu 0.7500 0.7500 0.7500
3 W 0.2500 0.2500 0.2500
4 Tl 0.0000 0.0000 0.0000

***

Entry 2:
Compound: TmScCu6
Source: OQMD
Functional: GGA-PBE
Structure: optimized geometry

Output
size of the total moment	0.006	μB/cell
formation energy from the elements	-190.1	meV per atom

Cell: 4.4759 5.5882 4.7388 Å, 90.00 90.00 90.00°
Positions (direct):
1 Sc 0.0000 0.0000 0.8559
2 Cu 0.0000 0.7598 0.3507
3 Cu 0.5000 0.2302 0.6576
4 Cu 0.5000 0.7698 0.6576
5 Tm 0.5000 0.5000 0.1519
6 Cu 0.5000 0.0000 0.1918
7 Cu 0.0000 0.5000 0.7838
8 Cu 0.0000 0.2402 0.3507

***

Entry 3:
Compound: TmScCu4
Source: OQMD
Functional: GGA-PBE
Structure: optimized geometry

Output
size of the total moment	0.010	μB/cell
formation energy from the elements	-233.4	meV per atom

Cell: 3.3654 3.3654 8.4772 Å, 90.00 90.00 90.00°
Positions (direct):
1 Cu 0.5000 0.5000 0.3342
2 Tm 0.5000 0.5000 0.0000
3 Cu 0.0000 0.0000 0.1841
4 Sc 0.0000 0.0000 0.5000
5 Cu 0.5000 0.5000 0.6658
6 Cu 0.0000 0.0000 0.8159

***

Entry 4:
Compound: Sc2ZnCu
Source: OQMD
Functional: GGA-PBE
Structure: optimized geometry

Output
size of the total moment	0.146	μB/cell
formation energy from the elements	-125.8	meV per atom

Cell: 4.8436 5.9951 5.9951 Å, 122.70 90.00 90.00°
Positions (direct):
1 Cu 0.2500 0.6612 0.8570
2 Zn 0.2500 0.6624 0.2970
3 Zn 0.7500 0.2970 0.6624
4 Sc 0.7500 0.8234 0.1080
5 Sc 0.7500 0.3816 0.2094
6 Sc 0.2500 0.1080 0.8234
7 Sc 0.2500 0.2094 0.3816
8 Cu 0.7500 0.8570 0.6612

***

Entry 5:
Compound: Sc3Zn2Cu3
Source: OQMD
Functional: GGA-PBE
Structure: optimized geometry

Output
size of the total moment	0.016	μB/cell
ΔE to the lowest computed polymorph	1.330	eV per formula unit
formation energy from the elements	-34.1	meV per atom

Cell: 4.6422 5.6164 5.6164 Å, 68.29 90.00 90.00°
Positions (direct):
1 Cu 0.0000 0.8202 0.8202
2 Cu 0.5000 0.1138 0.7213
3 Zn 0.0000 0.3331 0.3331
4 Sc 0.0000 0.8187 0.3276
5 Sc 0.5000 0.1989 0.1989
6 Sc 0.0000 0.3276 0.8187
7 Zn 0.5000 0.6663 0.6663
8 Cu 0.5000 0.7213 0.1138

***

Entry 6:
Compound: Sc3Zn2Cu3
Source: OQMD
Functional: GGA-PBE
Structure: optimized geometry

Output
size of the total moment	0.158	μB/cell
ΔE to the lowest computed polymorph	1.313	eV per formula unit
formation energy from the elements	-36.2	meV per atom

Cell: 5.9234 5.9234 4.4214 Å, 90.00 90.00 120.00°
Positions (direct):
1 Zn 0.0000 0.0000 0.5000
2 Cu 0.8532 0.1468 0.0000
3 Sc 0.0025 0.5012 0.5000
4 Zn 0.3333 0.6667 0.0000
5 Sc 0.4988 0.5012 0.5000
6 Cu 0.8532 0.7063 0.0000
7 Sc 0.4988 0.9975 0.5000
8 Cu 0.2937 0.1468 0.0000

***

Entry 7:
Compound: ScZn6Cu
Source: OQMD
Functional: GGA-PBE
Structure: optimized geometry

Output
size of the total moment	0.001	μB/cell
formation energy from the elements	-101.9	meV per atom

Cell: 5.7255 5.7255 4.3201 Å, 90.00 90.00 120.00°
Positions (direct):
1 Zn 0.5022 0.4978 0.5000
2 Zn 0.8273 0.6545 0.0000
3 Sc 0.0000 0.0000 0.5000
4 Zn 0.9955 0.4978 0.5000
5 Zn 0.5022 0.0045 0.5000
6 Cu 0.3333 0.6667 0.0000
7 Zn 0.8273 0.1727 0.0000
8 Zn 0.3455 0.1727 0.0000

***

Entry 8:
Compound: ScZn2Cu5
Source: OQMD
Functional: GGA-PBE
Structure: optimized geometry

Output
size of the total moment	0.013	μB/cell
ΔE to the lowest computed polymorph	0.000	eV per formula unit
formation energy from the elements	-102.3	meV per atom

Cell: 4.2476 4.2476 5.9902 Å, 90.00 90.00 90.00°
Positions (direct):
1 Cu 0.0000 0.5000 0.7698
2 Zn 0.0000 0.0000 0.0000
3 Cu 0.0000 0.5000 0.2302
4 Cu 0.5000 0.5000 0.0000
5 Zn 0.5000 0.5000 0.5000
6 Cu 0.5000 0.0000 0.7698
7 Sc 0.0000 0.0000 0.5000
8 Cu 0.5000 0.0000 0.2302

***

Entry 9:
Compound: ScZnCu2
Source: OQMD
Functional: GGA-PBE
Structure: optimized geometry

Output
size of the total moment	0.017	μB/cell
formation energy from the elements	-202.8	meV per atom

Cell: 5.1589 6.8107 7.0250 Å, 90.00 90.00 90.00°
Positions (direct):
1 Sc 0.3553 0.7500 0.5388
2 Cu 0.9174 0.5556 0.6835
3 Cu 0.5826 0.9444 0.1835
4 Zn 0.6429 0.7500 0.8862
5 Cu 0.0826 0.0556 0.3165
6 Sc 0.6447 0.2500 0.4612
7 Cu 0.5826 0.5556 0.1835
8 Sc 0.8553 0.2500 0.9612
9 Cu 0.9174 0.9444 0.6835
10 Cu 0.4174 0.4444 0.8165
11 Zn 0.8571 0.7500 0.3862
12 Sc 0.1447 0.7500 0.0388
13 Zn 0.3571 0.2500 0.1138
14 Cu 0.0826 0.4444 0.3165
15 Cu 0.4174 0.0556 0.8165
16 Zn 0.1429 0.2500 0.6138

***

Entry 10:
Compound: Sc2ZnCu
Source: OQMD
Functional: GGA-PBE
Structure: optimized geometry

Output
size of the total moment	0.003	μB/cell
formation energy from the elements	-319.1	meV per atom

Cell: 5.7484 5.7484 4.6152 Å, 90.00 90.00 111.74°
Positions (direct):
1 Sc 0.1391 0.3717 0.7500
2 Sc 0.3717 0.1391 0.2500
3 Cu 0.6553 0.3447 0.7500
4 Zn 0.1409 0.8591 0.7500
5 Sc 0.6283 0.8609 0.7500
6 Cu 0.3447 0.6553 0.2500
7 Zn 0.8591 0.1409 0.2500
8 Sc 0.8609 0.6283 0.2500

***

Entry 11:
Compound: Sc5Zn2Cu
Source: OQMD
Functional: GGA-PBE
Structure: optimized geometry

Output
size of the total moment	0.022	μB/cell
formation energy from the elements	-135.6	meV per atom

Cell: 4.7814 6.0670 6.0670 Å, 62.07 90.00 90.00°
Positions (direct):
1 Sc 0.5000 0.8535 0.3369
2 Zn 0.5000 0.3379 0.3379
3 Sc 0.0000 0.1643 0.6458
4 Zn 0.0000 0.6631 0.6631
5 Sc 0.0000 0.6458 0.1643
6 Sc 0.5000 0.8276 0.8276
7 Sc 0.5000 0.3369 0.8535
8 Cu 0.0000 0.1709 0.1709

***

Entry 12:
Compound: ScZnCu2
Source: OQMD
Functional: GGA-PBE
Structure: optimized geometry

Output
size of the total moment	0.002	μB/cell
formation energy from the elements	-211.3	meV per atom

Cell: 4.3188 5.6087 5.6087 Å, 117.35 90.00 90.00°
Positions (direct):
1 Cu 0.7500 0.8889 0.0524
2 Cu 0.2500 0.5904 0.9151
3 Cu 0.7500 0.9151 0.5904
4 Sc 0.7500 0.3980 0.0872
5 Zn 0.2500 0.6154 0.4525
6 Zn 0.7500 0.4525 0.6154
7 Sc 0.2500 0.0872 0.3980
8 Cu 0.2500 0.0524 0.8889

***

Entry 13:
Compound: ScZnCu2
Source: OQMD
Functional: GGA-PBE
Structure: optimized geometry

Output
size of the total moment	0.006	μB/cell
formation energy from the elements	-198.4	meV per atom

Cell: 4.3798 4.3798 4.3798 Å, 60.00 60.00 60.00°
Positions (direct):
1 Zn 0.5000 0.5000 0.5000
2 Sc 0.2500 0.2500 0.2500
3 Cu 0.7500 0.7500 0.7500
4 Cu 0.0000 0.0000 0.0000

***

Entry 14:
Compound: ScZnCu2
Source: OQMD
Functional: GGA-PBE
Structure: optimized geometry

Output
size of the total moment	0.020	μB/cell
formation energy from the elements	-264.6	meV per atom

Cell: 4.2158 4.2158 7.9787 Å, 90.00 90.00 120.00°
Positions (direct):
1 Cu 0.3333 0.6667 0.9136
2 Zn 0.0000 0.0000 0.5000
3 Zn 0.0000 0.0000 0.0000
4 Sc 0.3333 0.6667 0.2500
5 Cu 0.6667 0.3333 0.0864
6 Sc 0.6667 0.3333 0.7500
7 Cu 0.3333 0.6667 0.5864
8 Cu 0.6667 0.3333 0.4136

***

Entry 15:
Compound: ScZnCu2
Source: OQMD
Functional: GGA-PBE
Structure: optimized geometry

Output
size of the total moment	0.012	μB/cell
formation energy from the elements	-226.3	meV per atom

Cell: 5.6412 5.6412 4.3229 Å, 90.00 90.00 118.66°
Positions (direct):
1 Sc 0.1586 0.8414 0.2500
2 Zn 0.3497 0.6504 0.7500
3 Cu 0.6502 0.8113 0.2500
4 Zn 0.6504 0.3497 0.2500
5 Sc 0.8414 0.1586 0.7500
6 Cu 0.1887 0.3498 0.2500
7 Cu 0.3498 0.1887 0.7500
8 Cu 0.8113 0.6502 0.7500

***

Entry 16:
Compound: ScZnCu2
Source: OQMD
Functional: GGA-PBE
Structure: optimized geometry

Output
size of the total moment	0.004	μB/cell
formation energy from the elements	-198.1	meV per atom

Cell: 4.3751 4.3751 4.3751 Å, 60.00 60.00 60.00°
Positions (direct):
1 Cu 0.7500 0.7500 0.7500
2 Sc 0.5000 0.5000 0.5000
3 Zn 0.2500 0.2500 0.2500
4 Cu 0.0000 0.0000 0.0000

***

Entry 17:
Compound: ScZnCu2
Source: OQMD
Functional: GGA-PBE
Structure: optimized geometry

Output
size of the total moment	0.007	μB/cell
formation energy from the elements	-92.8	meV per atom

Cell: 4.4593 4.4593 7.1791 Å, 90.00 90.00 120.00°
Positions (direct):
1 Zn 0.3333 0.6667 0.7500
2 Cu 0.6667 0.3333 0.5806
3 Cu 0.3333 0.6667 0.4194
4 Cu 0.6667 0.3333 0.9194
5 Cu 0.3333 0.6667 0.0806
6 Zn 0.6667 0.3333 0.2500
7 Sc 0.0000 0.0000 0.2500
8 Sc 0.0000 0.0000 0.7500

***

Entry 18:
Compound: ScZnCu2
Source: OQMD
Functional: GGA-PBE
Structure: optimized geometry

Output
size of the total moment	0.022	μB/cell
formation energy from the elements	-200.7	meV per atom

Cell: 4.3877 4.3877 7.3232 Å, 90.00 90.00 120.00°
Positions (direct):
1 Cu 0.6667 0.3333 0.4101
2 Sc 0.0000 0.0000 0.0000
3 Cu 0.3333 0.6667 0.5899
4 Cu 0.6667 0.3333 0.0899
5 Zn 0.6667 0.3333 0.7500
6 Cu 0.3333 0.6667 0.9101
7 Zn 0.3333 0.6667 0.2500
8 Sc 0.0000 0.0000 0.5000

***

Entry 19:
Compound: ScZnCu2
Source: OQMD
Functional: GGA-PBE
Structure: optimized geometry

Output
size of the total moment	0.020	μB/cell
formation energy from the elements	-47.0	meV per atom

Cell: 4.3466 5.6745 5.6745 Å, 60.30 90.00 90.00°
Positions (direct):
1 Zn 0.0000 0.6894 0.6894
2 Cu 0.0000 0.1815 0.1815
3 Sc 0.5000 0.3261 0.8333
4 Zn 0.5000 0.3294 0.3294
5 Sc 0.5000 0.8333 0.3261
6 Cu 0.5000 0.8286 0.8286
7 Cu 0.0000 0.1546 0.6571
8 Cu 0.0000 0.6571 0.1546

***

Entry 20:
Compound: ScZn2Cu5
Source: OQMD
Functional: GGA-PBE
Structure: optimized geometry

Output
size of the total moment	0.013	μB/cell
ΔE to the lowest computed polymorph	0.000	eV per formula unit
formation energy from the elements	-102.3	meV per atom

Cell: 4.2475 4.2475 5.9904 Å, 90.00 90.00 90.00°
Positions (direct):
1 Cu 0.5000 0.0000 0.7302
2 Cu 0.0000 0.5000 0.2698
3 Zn 0.5000 0.5000 0.5000
4 Cu 0.0000 0.0000 0.5000
5 Cu 0.0000 0.5000 0.7302
6 Cu 0.5000 0.0000 0.2698
7 Sc 0.5000 0.5000 0.0000
8 Zn 0.0000 0.0000 0.0000

***

Short version: total DFT energy (no corrections) = -22.7; -34.6; -27.1; -36.3; -32.9; -33.0; -18.4; -28.3; -63.4; -37.8; -39.0; -31.7; -15.8; -32.2; -31.9; -15.8; -30.8; -31.7; -30.4; -28.3 eV/cell, in the order given.